A plane-wave DFT calculation with GGA-PBE was carried out for a geometry-optimized Cs6Rb10Tl structure.

Cell and atoms, written as CIF:
```
data_Cs6Rb10Tl
_cell_length_a 9.2929
_cell_length_b 14.1244
_cell_length_c 14.1244
_cell_angle_alpha 120.00
_cell_angle_beta 90.00
_cell_angle_gamma 90.00
_space_group_name_H-M_alt 'P 1'
_space_group_IT_number 1
_space_group_name_Hall 'P 1'
loop_
_atom_site_label
_atom_site_type_symbol
_atom_site_fract_x
_atom_site_fract_y
_atom_site_fract_z
Cs1 Cs 0.7490 0.3954 0.3954
Rb1 Rb 0.0000 0.6667 0.3333
Cs2 Cs 0.7490 0.0000 0.6046
Rb2 Rb 0.5000 0.6667 0.3333
Rb3 Rb 0.0000 0.3333 0.6667
Cs3 Cs 0.2510 0.6046 0.6046
Rb4 Rb 0.2566 0.0000 0.7827
Rb5 Rb 0.7434 0.0000 0.2173
Cs4 Cs 0.2510 0.3954 0.0000
Rb6 Rb 0.7434 0.2173 0.0000
Cs5 Cs 0.7490 0.6046 0.0000
Tl1 Tl 0.5000 0.0000 0.0000
Cs6 Cs 0.2510 0.0000 0.3954
Rb7 Rb 0.2566 0.2173 0.2173
Rb8 Rb 0.5000 0.3333 0.6667
Rb9 Rb 0.2566 0.7827 0.0000
Rb10 Rb 0.7434 0.7827 0.7827
```

## Properties
As for the space group: P-31m (162). As for the total energy: -0.0721 Ry per atom. As for the density of states at the Fermi level: 15.01 states/eV/f.u. Its mass density is 1.9 g/cm³. The energy of formation is 0.03 eV per atom.